Material: RbHg3Rh
Method: DFT, PBEsol
State: relaxed

Its space-group type is Pm-3m. The formation enthalpy at 0 K comes out at -129 meV/atom. The calculation puts the density at 9.2 g cm⁻³.

a = 5.2302 Å, b = 5.2302 Å, c = 5.2302 Å
α = 90.00°, β = 90.00°, γ = 90.00°
Closest atoms and distances in Å follow each position.
Sites, in units of the cell vectors:
Rb1 0.0000 0.0000 0.0000  12 Hg 3.70
Hg1 0.0000 0.5000 0.5000  2 Rh 2.62
Hg2 0.5000 0.0000 0.5000  2 Rh 2.62
Hg3 0.5000 0.5000 0.0000  2 Rh 2.62
Rh1 0.5000 0.5000 0.5000  6 Hg 2.62